Record 1
Compound: GaBO2F
Source: the Alexandria database
Functional: PBE-GGA
Structure: optimized geometry

a = 3.8279 Å, b = 3.8279 Å, c = 3.8841 Å
α = 90.00°, β = 90.00°, γ = 90.00°
Positions (direct):
B 0.5000 0.5000 0.5000
O 0.0000 0.5000 0.0000
O 0.5000 0.0000 0.0000
Ga 0.0000 0.0000 0.0000
F 0.0000 0.0000 0.5000

Summary:
* ρ: 3.84 g/cm3
* crystal system: tetragonal
* V: 57 Å³/f.u.
* formation energy (no corrections): -179 meV/atom
* D(E_F): 4.1 states/eV/cell
* E: -4.48 eV per atom
* symmetry: P4/mmm, No. 123

---

Record 2
Compound: GaBO2F
Source: the Alexandria database
Functional: PBE-GGA
Structure: optimized geometry

a = 3.4552 Å, b = 3.4552 Å, c = 3.4296 Å
α = 90.00°, β = 90.00°, γ = 90.00°
Positions (direct):
B 0.0000 0.0000 0.0000
O 0.0000 0.5000 0.0000
O 0.5000 0.0000 0.0000
Ga 0.5000 0.5000 0.5000
F 0.0000 0.0000 0.5000

Summary:
* ρ: 5.33 g/cm3
* crystal system: tetragonal
* V: 41 Å³/f.u.
* formation energy (no corrections): -874 meV/atom
* D(E_F): 1.8 states/eV/cell
* E: -5.17 eV per atom
* symmetry: P4/mmm, No. 123

---

Record 3
Compound: GaBOF2
Source: the Alexandria database
Functional: PBE-GGA
Structure: optimized geometry

a = 3.9804 Å, b = 3.9804 Å, c = 3.7050 Å
α = 90.00°, β = 90.00°, γ = 90.00°
Positions (direct):
B 0.5000 0.5000 0.5000
O 0.0000 0.0000 0.5000
Ga 0.0000 0.0000 0.0000
F 0.0000 0.5000 0.0000
F 0.5000 0.0000 0.0000

Summary:
* ρ: 3.81 g/cm3
* crystal system: tetragonal
* V: 59 Å³/f.u.
* formation energy (no corrections): -763 meV/atom
* D(E_F): 0.0 states/eV/cell
* E: -4.44 eV per atom
* symmetry: P4/mmm, No. 123

---

Record 4
Compound: GaBOF2
Source: the Alexandria database
Functional: PBE-GGA
Structure: optimized geometry

a = 4.4795 Å, b = 4.4795 Å, c = 2.6647 Å
α = 90.00°, β = 90.00°, γ = 90.00°
Positions (direct):
B 0.0000 0.0000 0.0000
O 0.0000 0.0000 0.5000
Ga 0.5000 0.5000 0.5000
F 0.0000 0.5000 0.0000
F 0.5000 0.0000 0.0000

Summary:
* ρ: 4.18 g/cm3
* crystal system: tetragonal
* V: 53 Å³/f.u.
* formation energy (no corrections): -1495 meV/atom
* D(E_F): 0.0 states/eV/cell
* E: -5.18 eV per atom
* symmetry: P4/mmm, No. 123

---

Q: Look up the E of the fourth one.
A: -5.18 eV per atom

---

Q: The highest E belongs to which entry?
A: number 3

---

Q: The highest formation energy (no corrections) belongs to which entry?
A: number 1